# 1
The following is a PBE calculation of a relaxed Rb2Hg12Sb crystal, from Alexandria via LeMat-Bulk.

POSCAR file:
```
Rb2Hg12Sb
1.0
-1.666 -4.278 5.690
-5.502 -2.934 -3.817
11.342 -12.937 -6.405
Rb Hg Sb
4 24 2
direct
0.500 0.000 0.248
0.000 0.500 0.248
0.000 0.500 0.752
0.500 0.000 0.752
0.500 0.500 0.815
0.000 0.000 0.815
0.750 0.750 0.906
0.250 0.750 0.906
0.000 0.000 0.352
0.250 0.750 0.094
0.843 0.343 0.566
0.500 0.500 0.352
0.250 0.250 0.906
0.750 0.750 0.094
0.343 0.157 0.566
0.657 0.157 0.434
0.000 0.000 0.648
0.157 0.343 0.434
0.250 0.250 0.094
0.843 0.657 0.434
0.657 0.843 0.566
0.000 0.000 0.185
0.157 0.657 0.566
0.500 0.500 0.648
0.750 0.250 0.906
0.500 0.500 0.185
0.343 0.843 0.434
0.750 0.250 0.094
0.500 0.000 0.000
0.000 0.500 0.000
```

**DFT total energy**: -0.7641 eV per atom
**Magnetic moment**: 0.0 μB per formula unit
**Symmetry**: P4/nbm, No. 125



# 2
The following is a PBE calculation of a relaxed RbHg3Sb3 crystal, from Alexandria via LeMat-Bulk.

POSCAR file:
```
RbHg3Sb3
1.0
-4.594 4.348 -5.027
-1.412 -6.609 -4.427
-6.494 -1.639 4.518
Sb Hg Rb
6 6 2
direct
0.000 0.250 0.500
0.000 0.750 0.500
0.500 0.000 0.750
0.750 0.500 0.000
0.500 0.000 0.250
0.250 0.500 0.000
0.250 0.000 0.500
0.000 0.500 0.250
0.500 0.750 0.000
0.750 0.000 0.500
0.000 0.500 0.750
0.500 0.250 0.000
0.500 0.500 0.500
0.000 0.000 0.000
```

**DFT total energy**: -2.0813 eV per atom
**Magnetic moment**: 0.0 μB per formula unit
**Symmetry**: Pm-3n, No. 223



# 3
The following is a PBE calculation of a relaxed Rb2HgSb2 crystal, from Alexandria via LeMat-Bulk.

POSCAR file:
```
Rb2HgSb2
1.0
-2.378 9.008 -5.173
-9.526 -4.007 -2.599
-1.404 1.371 3.033
Sb Hg Rb
4 2 4
direct
0.093 0.593 0.500
0.593 0.907 0.500
0.907 0.407 0.500
0.407 0.093 0.500
0.000 0.000 0.000
0.500 0.500 0.000
0.302 0.802 0.000
0.802 0.698 0.000
0.698 0.198 0.000
0.198 0.302 0.000
```

**Distance to the lowest polymorph of the same formula**: 128.7 meV/atom
**Magnetic moment**: 0.0 μB per formula unit
**Symmetry**: P4/mbm, No. 127